(1)
# PBE CeHg3Au2, relaxed
data_CeHg3Au2
_chemical_formula_sum 'Ce4 Hg12 Au8'
_cell_length_a 18.041
_cell_length_b 4.409
_cell_length_c 8.053
_cell_angle_alpha 90.00
_cell_angle_beta 114.83
_cell_angle_gamma 90.00
_symmetry_space_group_name_H-M 'C 1 2/m 1'
_symmetry_Int_Tables_number 12
loop_
_symmetry_equiv_pos_as_xyz
'x,y,z'
'-x,-y,-z'
'-x,y,-z'
'x,-y,z'
'x+1/2,y+1/2,z'
'-x+1/2,-y+1/2,-z'
'-x+1/2,y+1/2,-z'
'x+1/2,-y+1/2,z'
loop_
_atom_site_label
_atom_site_fract_x
_atom_site_fract_y
_atom_site_fract_z
_atom_site_occupancy
Ce1 0.116 0.000 0.042 1
Hg1 0.070 0.000 0.437 1
Hg2 0.125 0.500 0.724 1
Hg3 0.193 0.500 0.407 1
Au1 0.014 0.500 0.183 1
Au2 0.247 0.000 0.870 1
# Calculated total energy, eV per atom: -2.5103
# DFT formation energy, eV per atom: -0.28

(2)
# PBE CeHgAu2, relaxed
data_CeHgAu2
_chemical_formula_sum 'Ce4 Hg4 Au8'
_cell_length_a 7.129
_cell_length_b 7.129
_cell_length_c 7.129
_cell_angle_alpha 90.00
_cell_angle_beta 90.00
_cell_angle_gamma 90.00
_symmetry_space_group_name_H-M 'F m -3 m'
_symmetry_Int_Tables_number 225
_symmetry_space_group_name_Hall '-F 4 2 3'
loop_
_atom_site_label
_atom_site_fract_x
_atom_site_fract_y
_atom_site_fract_z
_atom_site_occupancy
Ce1 0.000 0.000 0.000 1
Hg1 0.000 0.000 0.500 1
Au1 0.250 0.250 0.250 1
# Calculated total energy, eV per atom: -3.7236
# DFT formation energy, eV per atom: -0.53

(3)
# PBE CeHgAu, relaxed
data_CeHgAu
_chemical_formula_sum 'Ce2 Hg2 Au2'
_cell_length_a 5.4672
_cell_length_b 5.4672
_cell_length_c 5.9907
_cell_angle_alpha 90.00
_cell_angle_beta 90.00
_cell_angle_gamma 120.00
_symmetry_space_group_name_H-M 'P 63/m m c'
_symmetry_Int_Tables_number 194
_symmetry_space_group_name_Hall '-P 6c 2c'
loop_
_atom_site_label
_atom_site_fract_x
_atom_site_fract_y
_atom_site_fract_z
_atom_site_occupancy
Ce1 0.3333 0.6667 0.2500 1
Hg1 0.0000 0.0000 0.2500 1
Au1 0.3333 0.6667 0.7500 1
# Calculated total energy, eV per atom: -3.5864
# DFT formation energy, eV per atom: -0.42

(4)
# PBE Ce3Hg4Au4, relaxed
data_Ce3Hg4Au4
_chemical_formula_sum 'Ce6 Hg8 Au8'
_cell_length_a 31.396
_cell_length_b 3.412
_cell_length_c 4.881
_cell_angle_alpha 90.00
_cell_angle_beta 98.94
_cell_angle_gamma 90.00
_symmetry_space_group_name_H-M 'C 1 2/m 1'
_symmetry_Int_Tables_number 12
loop_
_symmetry_equiv_pos_as_xyz
'x,y,z'
'-x,-y,-z'
'-x,y,-z'
'x,-y,z'
'x+1/2,y+1/2,z'
'-x+1/2,-y+1/2,-z'
'-x+1/2,y+1/2,-z'
'x+1/2,-y+1/2,z'
loop_
_atom_site_label
_atom_site_fract_x
_atom_site_fract_y
_atom_site_fract_z
_atom_site_occupancy
Ce1 0.000 0.000 0.000 1
Ce2 0.139 0.000 0.638 1
Hg1 0.091 0.500 0.091 1
Hg2 0.234 0.500 0.733 1
Au1 0.045 0.500 0.545 1
Au2 0.183 0.500 0.182 1
# Calculated total energy, eV per atom: -3.3607
# DFT formation energy, eV per atom: -0.44

(5)
# PBE Ce4HgAu, relaxed
data_Ce4HgAu
_chemical_formula_sum 'Ce16 Hg4 Au4'
_cell_length_a 8.967
_cell_length_b 12.812
_cell_length_c 5.781
_cell_angle_alpha 90.00
_cell_angle_beta 112.46
_cell_angle_gamma 90.00
_symmetry_space_group_name_H-M 'C 1 2/c 1'
_symmetry_Int_Tables_number 15
loop_
_symmetry_equiv_pos_as_xyz
'x,y,z'
'-x,-y,-z'
'-x,y,-z+1/2'
'x,-y,z+1/2'
'x+1/2,y+1/2,z'
'-x+1/2,-y+1/2,-z'
'-x+1/2,y+1/2,-z+1/2'
'x+1/2,-y+1/2,z+1/2'
loop_
_atom_site_label
_atom_site_fract_x
_atom_site_fract_y
_atom_site_fract_z
_atom_site_occupancy
Ce1 0.121 0.197 0.160 1
Ce2 0.208 0.394 0.370 1
Hg1 0.000 0.386 0.750 1
Au1 0.000 0.030 0.750 1
# Calculated total energy, eV per atom: -4.8401
# Relative energy among the computed polymorphs, meV per atom: 0
# DFT formation energy, eV per atom: -0.29

(6)
# PBE Ce4HgAu, relaxed
data_Ce4HgAu
_chemical_formula_sum 'Ce8 Hg2 Au2'
_cell_length_a 5.109
_cell_length_b 6.063
_cell_length_c 9.096
_cell_angle_alpha 90.00
_cell_angle_beta 90.00
_cell_angle_gamma 90.00
_symmetry_space_group_name_H-M 'I m m m'
_symmetry_Int_Tables_number 71
_symmetry_space_group_name_Hall '-I 2 2'
loop_
_atom_site_label
_atom_site_fract_x
_atom_site_fract_y
_atom_site_fract_z
_atom_site_occupancy
Ce1 0.000 0.237 0.170 1
Hg1 0.000 0.000 0.500 1
Au1 0.000 0.500 0.500 1
# Calculated total energy, eV per atom: -4.7806
# Relative energy among the computed polymorphs, meV per atom: 59
# DFT formation energy, eV per atom: -0.23

(7)
# PBE CeHgAu, relaxed
data_CeHgAu
_chemical_formula_sum 'Ce2 Hg2 Au2'
_cell_length_a 2.911
_cell_length_b 2.911
_cell_length_c 17.433
_cell_angle_alpha 90.00
_cell_angle_beta 90.00
_cell_angle_gamma 90.00
_symmetry_space_group_name_H-M 'I 4 m m'
_symmetry_Int_Tables_number 107
_symmetry_space_group_name_Hall 'I 4 -2'
loop_
_atom_site_label
_atom_site_fract_x
_atom_site_fract_y
_atom_site_fract_z
_atom_site_occupancy
Ce1 0.000 0.000 0.000 1
Hg1 0.000 0.000 0.184 1
Au1 0.000 0.000 0.831 1
# Calculated total energy, eV per atom: -2.9524
# DFT formation energy, eV per atom: 0.22

(8)
# PBE Ce3HgAu, relaxed
data_Ce3HgAu
_chemical_formula_sum 'Ce24 Hg8 Au8'
_cell_length_a 15.966
_cell_length_b 9.974
_cell_length_c 6.655
_cell_angle_alpha 90.00
_cell_angle_beta 90.00
_cell_angle_gamma 90.00
_symmetry_space_group_name_H-M 'C m c m'
_symmetry_Int_Tables_number 63
_symmetry_space_group_name_Hall '-C 2c 2'
loop_
_atom_site_label
_atom_site_fract_x
_atom_site_fract_y
_atom_site_fract_z
_atom_site_occupancy
Ce1 0.090 0.238 0.041 1
Ce2 0.193 0.500 0.000 1
Hg1 0.000 0.022 0.750 1
Hg2 0.000 0.483 0.750 1
Au1 0.236 0.242 0.750 1
# Calculated total energy, eV per atom: -4.5467
# Relative energy among the computed polymorphs, meV per atom: 0
# DFT formation energy, eV per atom: -0.27

What is the calculated total energy in the fifth record?
-4.8401 eV per atom

What is the formula in the fourth record?
Ce3Hg4Au4